a | Below is Nd2DyBi after structural relaxation, with properties calculated at the PBE level.

Cell: 4.3234 4.3234 6.8786 Å, 90.00 90.00 90.00°
Last column: nearest neighbours and their distance in Å.
Element x y z (fractional)
Bi 0.5000 0.5000 0.5000  2 Dy 3.44, 8 Nd 3.47
Nd 0.0000 0.0000 0.7372  2 Nd 3.26-3.62, 4 Bi 3.47, 4 Dy 3.55
Nd 0.0000 0.0000 0.2628  2 Nd 3.26-3.62, 4 Bi 3.47, 4 Dy 3.55
Dy 0.5000 0.5000 0.0000  2 Bi 3.44, 8 Nd 3.55

- Space group: P4/mmm (123)
- Spin magnetization: 0.0 μB/f.u.
- ρ: 8.52 g cm⁻³



b | Below is Nd2DyBi after structural relaxation, with properties calculated at the PBE level.

Cell: 4.6802 4.6824 11.9726 Å, 90.00 101.27 90.00°
Last column: nearest neighbours and their distance in Å.
Element x y z (fractional)
Nd 0.9384 0.2500 0.8770  4 Nd 3.31, 2 Bi 3.52
Nd 0.0616 0.7500 0.1230  4 Nd 3.31, 2 Bi 3.52
Nd 0.4337 0.7500 0.8677  4 Nd 3.31, 2 Bi 3.44
Nd 0.5663 0.2500 0.1323  4 Nd 3.31, 2 Bi 3.44
Dy 0.6923 0.7500 0.3845  5 Bi 3.15-3.34
Dy 0.3077 0.2500 0.6155  5 Bi 3.15-3.34
Bi 0.8264 0.7500 0.6529  5 Dy 3.15-3.34, 4 Nd 3.44-3.52
Bi 0.1736 0.2500 0.3471  5 Dy 3.15-3.34, 4 Nd 3.44-3.52

- Space group: Cmcm (63)
- Spin magnetization: 0.0 μB/f.u.
- ρ: 8.52 g cm⁻³



Relative energies, in kJ/mol of atoms, with the most stable structure set to zero: a 1.3; b 0.0.



a | Below is Dy2BiPb after structural relaxation, with properties calculated at the PBE level.

Cell: 4.4338 4.5280 12.3585 Å, 100.56 90.00 90.00°
Last column: nearest neighbours and their distance in Å.
Element x y z (fractional)
Pb 0.7500 0.5500 0.1000  7 Dy 3.18-3.52, 2 Pb 3.29
Pb 0.2500 0.4500 0.9000  7 Dy 3.18-3.52, 2 Pb 3.29
Bi 0.2500 0.1877 0.3753  6 Dy 3.08-3.17
Bi 0.7500 0.8123 0.6247  6 Dy 3.08-3.17
Dy 0.2500 0.3161 0.6323  5 Bi 3.12-3.17, 1 Pb 3.25
Dy 0.7500 0.6839 0.3677  5 Bi 3.12-3.17, 1 Pb 3.25
Dy 0.7500 0.9389 0.8778  1 Bi 3.08, 4 Pb 3.18
Dy 0.2500 0.0611 0.1222  1 Bi 3.08, 4 Pb 3.18

- Space group: Cmcm (63)
- Spin magnetization: 0.0 μB/f.u.
- ρ: 10.09 g cm⁻³



b | Below is Dy2BiPb after structural relaxation, with properties calculated at the PBE level.

Cell: 4.0821 4.0821 6.9119 Å, 90.00 90.00 90.00°
Last column: nearest neighbours and their distance in Å.
Element x y z (fractional)
Dy 0.0000 0.0000 0.7517  4 Bi 3.36, 4 Pb 3.37, 2 Dy 3.43-3.48
Dy 0.0000 0.0000 0.2483  4 Bi 3.36, 4 Pb 3.37, 2 Dy 3.43-3.48
Pb 0.5000 0.5000 0.5000  8 Dy 3.37, 2 Bi 3.46
Bi 0.5000 0.5000 0.0000  8 Dy 3.36, 2 Pb 3.46

- Space group: P4/mmm (123)
- Spin magnetization: 0.0 μB/f.u.
- ρ: 10.69 g cm⁻³



c | Below is Dy2BiPb after structural relaxation, with properties calculated at the PBE level.

Cell: 4.3125 4.3125 8.1700 Å, 90.06 105.26 119.95°
Last column: nearest neighbours and their distance in Å.
Element x y z (fractional)
Bi 0.0000 0.0000 0.0000  6 Dy 3.13
Dy 0.4962 0.7482 0.2444  3 Bi 3.13, 3 Pb 3.19
Dy 0.5038 0.2518 0.7556  3 Bi 3.13, 3 Pb 3.19
Pb 0.0000 0.5000 0.5000  6 Dy 3.19

- Space group: C2/m (12)
- Spin magnetization: 0.0 μB/f.u.
- ρ: 9.81 g cm⁻³



Relative energies, in kJ/mol of atoms, with the most stable structure set to zero: a 0.0; b 14.3; c 5.7.



a | Below is Dy2BiPb after structural relaxation, with properties calculated at the PBE level.

Cell: 4.2595 4.2595 8.4843 Å, 75.46 75.46 60.00°
Last column: nearest neighbours and their distance in Å.
Element x y z (fractional)
Pb 0.4989 0.4989 0.5034  6 Dy 3.24-3.27
Dy 0.2539 0.2539 0.2382  3 Bi 3.15, 3 Pb 3.27
Dy 0.0792 0.0792 0.7625  3 Bi 3.11, 3 Pb 3.24
Bi 0.6680 0.6680 0.9960  6 Dy 3.11-3.15

- Space group: R3m (160)
- Spin magnetization: 0.0 μB/f.u.
- ρ: 9.65 g cm⁻³



b | Below is Dy2BiPb after structural relaxation, with properties calculated at the PBE level.

Cell: 4.3819 5.1062 5.1062 Å, 90.00 90.00 90.00°
Last column: nearest neighbours and their distance in Å.
Element x y z (fractional)
Dy 0.0000 0.0000 0.5000  4 Bi 3.36, 4 Pb 3.36, 4 Dy 3.61
Dy 0.0000 0.5000 0.0000  4 Bi 3.36, 4 Pb 3.36, 4 Dy 3.61
Bi 0.5000 0.5000 0.5000  8 Dy 3.36, 4 Pb 3.61
Pb 0.5000 0.0000 0.0000  8 Dy 3.36, 4 Bi 3.61

- Space group: P4/mmm (123)
- Spin magnetization: 0.0 μB/f.u.
- ρ: 10.77 g cm⁻³



Relative energies, in kJ/mol of atoms, with the most stable structure set to zero: a 0.0; b 2.3.



a | Below is DyBiPb after structural relaxation, with properties calculated at the PBE level.

Cell: 3.3698 5.5870 5.5870 Å, 120.00 90.00 90.00°
Last column: nearest neighbours and their distance in Å.
Element x y z (fractional)
Pb 0.8166 0.6667 0.3333  3 Bi 3.23, 2 Pb 3.37, 3 Dy 3.61
Bi 0.8479 0.0000 0.0000  3 Pb 3.23, 2 Bi 3.37
Dy 0.3354 0.3333 0.6667  2 Dy 3.37, 6 Pb 3.61-3.67, 6 Bi 3.62-3.66

- Space group: P3m1 (156)
- Spin magnetization: 0.0 μB/f.u.
- ρ: 10.55 g cm⁻³



b | Below is DyBiPb after structural relaxation, with properties calculated at the PBE level.

Cell: 4.7374 4.4116 17.3690 Å, 90.00 90.00 90.00°
Last column: nearest neighbours and their distance in Å.
Element x y z (fractional)
Pb 0.7521 0.2500 0.8316  5 Dy 3.15-3.25
Pb 0.7479 0.2500 0.3316  5 Dy 3.15-3.25
Pb 0.2479 0.7500 0.1684  5 Dy 3.15-3.25
Pb 0.2521 0.7500 0.6684  5 Dy 3.15-3.25
Dy 0.2479 0.7500 0.3500  5 Pb 3.15-3.25, 4 Bi 3.45-3.49
Dy 0.7521 0.2500 0.6500  5 Pb 3.15-3.25, 4 Bi 3.45-3.49
Dy 0.2521 0.7500 0.8500  5 Pb 3.15-3.25, 4 Bi 3.45-3.49
Dy 0.7479 0.2500 0.1500  5 Pb 3.15-3.25, 4 Bi 3.45-3.49
Bi 0.7498 0.7500 0.4974  4 Bi 3.24, 4 Dy 3.45-3.49
Bi 0.2502 0.2500 0.5026  4 Bi 3.24, 4 Dy 3.45-3.49
Bi 0.2498 0.2500 0.0026  4 Bi 3.24, 4 Dy 3.45-3.49
Bi 0.7502 0.7500 0.9974  4 Bi 3.24, 4 Dy 3.45-3.49

- Space group: Pnma (62)
- Spin magnetization: 0.0 μB/f.u.
- ρ: 10.59 g cm⁻³



c | Below is DyBiPb after structural relaxation, with properties calculated at the PBE level.

Cell: 4.1146 4.1146 6.0164 Å, 110.00 110.00 90.00°
Last column: nearest neighbours and their distance in Å.
Element x y z (fractional)
Dy 0.2907 0.2907 0.5813  4 Bi 3.28, 5 Pb 3.40-3.51
Bi 0.9354 0.9354 0.8709  5 Pb 3.28-3.52, 4 Dy 3.28
Pb 0.6239 0.6239 0.2478  5 Bi 3.28-3.52, 5 Dy 3.40-3.51

- Space group: I4mm (107)
- Spin magnetization: 0.0 μB/f.u.
- ρ: 10.78 g cm⁻³



Relative energies, in kJ/mol of atoms, with the most stable structure set to zero: a 13.7; b 6.2; c 0.0.



a | Below is Dy5Bi2Pb2 after structural relaxation, with properties calculated at the PBE level.

Cell: 7.7688 8.3724 10.6088 Å, 113.24 111.48 90.00°
Last column: nearest neighbours and their distance in Å.
Element x y z (fractional)
Pb 0.2835 0.4186 0.5000  6 Dy 3.09-3.41
Pb 0.7165 0.9186 0.5000  6 Dy 3.09-3.41
Pb 0.0000 0.9615 0.0000  6 Dy 3.03-3.18
Pb 0.5000 0.4615 0.0000  6 Dy 3.03-3.18
Dy 0.1453 0.1664 0.8687  2 Pb 3.03-3.18, 2 Bi 3.11-3.15
Dy 0.7765 0.7977 0.1313  2 Pb 3.03-3.18, 2 Bi 3.11-3.15
Dy 0.3003 0.0104 0.3083  2 Bi 3.02-3.09, 2 Pb 3.11-3.25
Dy 0.5080 0.5104 0.3083  2 Bi 3.02-3.09, 2 Pb 3.11-3.25
Dy 0.2235 0.6664 0.8687  2 Pb 3.03-3.18, 2 Bi 3.11-3.15
Dy 0.8547 0.2977 0.1313  2 Pb 3.03-3.18, 2 Bi 3.11-3.15
Dy 0.4920 0.2021 0.6917  2 Bi 3.02-3.09, 2 Pb 3.11-3.25
Dy 0.6997 0.7021 0.6917  2 Bi 3.02-3.09, 2 Pb 3.11-3.25
Dy 0.9402 0.2317 0.5000  2 Pb 3.09-3.15, 2 Bi 3.28
Dy 0.0598 0.7317 0.5000  2 Pb 3.09-3.15, 2 Bi 3.28
Bi 0.4389 0.9273 0.8070  5 Dy 3.02-3.28
Bi 0.5611 0.1202 0.1930  5 Dy 3.02-3.28
Bi 0.1319 0.6202 0.1930  5 Dy 3.02-3.28
Bi 0.8681 0.4273 0.8070  5 Dy 3.02-3.28

- Space group: Ima2 (46)
- Spin magnetization: 0.0 μB/f.u.
- ρ: 9.39 g cm⁻³



b | Below is Dy5Bi2Pb2 after structural relaxation, with properties calculated at the PBE level.

Cell: 8.3217 8.2939 8.8613 Å, 117.90 90.00 90.00°
Last column: nearest neighbours and their distance in Å.
Element x y z (fractional)
Bi 0.5000 0.2969 0.5939  7 Dy 3.18-3.31
Bi 0.0000 0.2031 0.4061  7 Dy 3.18-3.31
Bi 0.0000 0.7969 0.5939  7 Dy 3.18-3.31
Bi 0.5000 0.7031 0.4061  7 Dy 3.18-3.31
Dy 0.0000 0.0000 0.0000  2 Bi 3.18, 4 Pb 3.20-3.21
Dy 0.3389 0.9708 0.2667  3 Pb 3.12-3.28, 3 Bi 3.19-3.31
Dy 0.6611 0.2959 0.2667  3 Pb 3.12-3.28, 3 Bi 3.19-3.31
Dy 0.8389 0.5292 0.7333  3 Pb 3.12-3.28, 3 Bi 3.19-3.31
Dy 0.5000 0.5000 0.0000  2 Bi 3.18, 4 Pb 3.20-3.21
Dy 0.8389 0.7959 0.2667  3 Pb 3.12-3.28, 3 Bi 3.19-3.31
Dy 0.1611 0.2041 0.7333  3 Pb 3.12-3.28, 3 Bi 3.19-3.31
Dy 0.3389 0.7041 0.7333  3 Pb 3.12-3.28, 3 Bi 3.19-3.31
Dy 0.1611 0.4708 0.2667  3 Pb 3.12-3.28, 3 Bi 3.19-3.31
Dy 0.6611 0.0292 0.7333  3 Pb 3.12-3.28, 3 Bi 3.19-3.31
Pb 0.1412 0.6417 0.0000  8 Dy 3.12-3.28, 1 Pb 3.32
Pb 0.8588 0.3583 0.0000  8 Dy 3.12-3.28, 1 Pb 3.32
Pb 0.6412 0.8583 0.0000  8 Dy 3.12-3.28, 1 Pb 3.32
Pb 0.3588 0.1417 0.0000  8 Dy 3.12-3.28, 1 Pb 3.32

- Space group: Cmce (64)
- Spin magnetization: 0.0 μB/f.u.
- ρ: 10.11 g cm⁻³



Relative energies, in kJ/mol of atoms, with the most stable structure set to zero: a 26.3; b 0.0.